(1)
Computed, not measured: a PBEsol-optimized structure of Rb4Zr6CCl18 at the SCAN level of DFT.

Results
uncorrected formation energy: -2.091 eV/atom
uncorrected energy: -481.5 eV per cell
density: 3.16 g/cm³

CIF file:
```
data_Rb4Zr6CCl18
_symmetry_space_group_name_H-M 'P 1'
_symmetry_Int_Tables_number 1
_cell_length_a 10.149
_cell_length_b 10.149
_cell_length_c 9.777
_cell_angle_alpha 102.64
_cell_angle_beta 102.64
_cell_angle_gamma 117.70
loop_
_symmetry_equiv_pos_as_xyz
'x,y,z'
loop_
_atom_site_label
_atom_site_type_symbol
_atom_site_fract_x
_atom_site_fract_y
_atom_site_fract_z
Rb1 Rb 0.058 0.733 0.686
Rb2 Rb 0.267 0.942 0.314
Rb3 Rb 0.733 0.058 0.686
Rb4 Rb 0.942 0.267 0.314
Zr1 Zr 0.264 0.449 0.849
Zr2 Zr 0.375 0.375 0.143
Zr3 Zr 0.449 0.264 0.849
Zr4 Zr 0.551 0.736 0.151
Zr5 Zr 0.625 0.625 0.857
Zr6 Zr 0.736 0.551 0.151
C1 C 0.500 0.500 0.000
Cl1 Cl 0.006 0.612 0.329
Cl2 Cl 0.099 0.306 0.989
Cl3 Cl 0.180 0.180 0.668
Cl4 Cl 0.232 0.232 0.300
Cl5 Cl 0.295 0.705 0.000
Cl6 Cl 0.306 0.099 0.989
Cl7 Cl 0.377 0.582 0.678
Cl8 Cl 0.388 0.994 0.671
Cl9 Cl 0.418 0.623 0.322
Cl10 Cl 0.582 0.377 0.678
Cl11 Cl 0.612 0.006 0.329
Cl12 Cl 0.623 0.418 0.322
Cl13 Cl 0.694 0.901 0.011
Cl14 Cl 0.705 0.295 0.000
Cl15 Cl 0.768 0.768 0.700
Cl16 Cl 0.820 0.820 0.332
Cl17 Cl 0.901 0.694 0.011
Cl18 Cl 0.994 0.388 0.671
```

(2)
Computed, not measured: a PBEsol-optimized structure of Cu2Au at the SCAN level of DFT.

Results
ΔE_f: 0.0 eV/f.u.
energy relative to the lowest polymorph listed for this composition: 74 meV/atom
uncorrected energy: -199.1 eV per cell
density: 13.22 g/cm³

CIF file:
```
data_Cu2Au
_symmetry_space_group_name_H-M 'P 1'
_symmetry_Int_Tables_number 1
_cell_length_a 4.291
_cell_length_b 4.291
_cell_length_c 5.103
_cell_angle_alpha 90.00
_cell_angle_beta 90.00
_cell_angle_gamma 120.00
loop_
_symmetry_equiv_pos_as_xyz
'x,y,z'
loop_
_atom_site_label
_atom_site_type_symbol
_atom_site_fract_x
_atom_site_fract_y
_atom_site_fract_z
Cu1 Cu 0.000 0.000 0.000
Cu2 Cu 0.000 0.000 0.500
Cu3 Cu 0.333 0.667 0.250
Cu4 Cu 0.667 0.333 0.750
Au1 Au 0.333 0.667 0.750
Au2 Au 0.667 0.333 0.250
```

(3)
Computed, not measured: a PBEsol-optimized structure of V3HPb5O13 at the SCAN level of DFT.

Results
uncorrected energy: -1117.1 eV per cell
density: 7.01 g/cm³

CIF file:
```
data_V3HPb5O13
_symmetry_space_group_name_H-M 'P 1'
_symmetry_Int_Tables_number 1
_cell_length_a 10.162
_cell_length_b 10.162
_cell_length_c 7.400
_cell_angle_alpha 90.00
_cell_angle_beta 90.00
_cell_angle_gamma 120.00
loop_
_symmetry_equiv_pos_as_xyz
'x,y,z'
loop_
_atom_site_label
_atom_site_type_symbol
_atom_site_fract_x
_atom_site_fract_y
_atom_site_fract_z
V1 V 0.030 0.629 0.000
V2 V 0.371 0.402 0.000
V3 V 0.402 0.030 0.500
V4 V 0.598 0.970 0.000
V5 V 0.629 0.598 0.500
V6 V 0.970 0.371 0.500
H1 H 0.000 0.000 0.318
H2 H 0.000 0.000 0.818
Pb1 Pb 0.006 0.251 0.996
Pb2 Pb 0.245 0.994 0.996
Pb3 Pb 0.251 0.245 0.496
Pb4 Pb 0.333 0.667 0.258
Pb5 Pb 0.333 0.667 0.743
Pb6 Pb 0.667 0.333 0.243
Pb7 Pb 0.667 0.333 0.758
Pb8 Pb 0.749 0.755 0.996
Pb9 Pb 0.755 0.006 0.496
Pb10 Pb 0.994 0.749 0.496
O1 O 0.000 0.000 0.450
O2 O 0.000 0.000 0.950
O3 O 0.088 0.747 0.184
O4 O 0.094 0.747 0.817
O5 O 0.127 0.529 0.002
O6 O 0.163 0.493 0.498
O7 O 0.253 0.341 0.184
O8 O 0.253 0.347 0.817
O9 O 0.330 0.837 0.498
O10 O 0.341 0.088 0.684
O11 O 0.347 0.094 0.317
O12 O 0.402 0.873 0.002
O13 O 0.471 0.598 0.002
O14 O 0.493 0.330 0.998
O15 O 0.507 0.670 0.498
O16 O 0.529 0.402 0.502
O17 O 0.598 0.127 0.502
O18 O 0.653 0.906 0.817
O19 O 0.659 0.912 0.184
O20 O 0.670 0.163 0.998
O21 O 0.747 0.653 0.317
O22 O 0.747 0.659 0.684
O23 O 0.837 0.507 0.998
O24 O 0.873 0.471 0.502
O25 O 0.906 0.253 0.317
O26 O 0.912 0.253 0.684
```

(4)
Computed, not measured: a PBEsol-optimized structure of Ba2MgMn at the SCAN level of DFT.

Results
ΔE_f: 0.7 eV/f.u.
uncorrected energy: -101.7 eV per cell
density: 4.62 g/cm³

CIF file:
```
data_Ba2MgMn
_symmetry_space_group_name_H-M 'P 1'
_symmetry_Int_Tables_number 1
_cell_length_a 5.644
_cell_length_b 5.644
_cell_length_c 5.644
_cell_angle_alpha 60.00
_cell_angle_beta 60.00
_cell_angle_gamma 60.00
loop_
_symmetry_equiv_pos_as_xyz
'x,y,z'
loop_
_atom_site_label
_atom_site_type_symbol
_atom_site_fract_x
_atom_site_fract_y
_atom_site_fract_z
Ba1 Ba 0.000 0.000 0.000
Ba2 Ba 0.250 0.250 0.250
Mg1 Mg 0.750 0.750 0.750
Mn1 Mn 0.500 0.500 0.500
```

(5)
Computed, not measured: a PBEsol-optimized structure of LaCrC3 at the SCAN level of DFT.

Results
ΔE_f: 2.9 eV/f.u.
uncorrected energy: -88.9 eV per cell
density: 6.47 g/cm³

CIF file:
```
data_LaCrC3
_symmetry_space_group_name_H-M 'P 1'
_symmetry_Int_Tables_number 1
_cell_length_a 3.876
_cell_length_b 3.876
_cell_length_c 3.876
_cell_angle_alpha 90.00
_cell_angle_beta 90.00
_cell_angle_gamma 90.00
loop_
_symmetry_equiv_pos_as_xyz
'x,y,z'
loop_
_atom_site_label
_atom_site_type_symbol
_atom_site_fract_x
_atom_site_fract_y
_atom_site_fract_z
La1 La 0.000 0.000 0.000
Cr1 Cr 0.500 0.500 0.500
C1 C 0.000 0.500 0.500
C2 C 0.500 0.000 0.500
C3 C 0.500 0.500 0.000
```

(6)
Computed, not measured: a PBEsol-optimized structure of YSc2Tl at the SCAN level of DFT.

Results
ΔE_f: 0.3 eV/f.u.
energy relative to the lowest polymorph listed for this composition: 427 meV/atom
uncorrected energy: -128.3 eV per cell
density: 6.13 g/cm³

CIF file:
```
data_YSc2Tl
_symmetry_space_group_name_H-M 'P 1'
_symmetry_Int_Tables_number 1
_cell_length_a 11.243
_cell_length_b 11.243
_cell_length_c 11.243
_cell_angle_alpha 16.82
_cell_angle_beta 16.82
_cell_angle_gamma 16.82
loop_
_symmetry_equiv_pos_as_xyz
'x,y,z'
loop_
_atom_site_label
_atom_site_type_symbol
_atom_site_fract_x
_atom_site_fract_y
_atom_site_fract_z
Y1 Y 0.000 0.000 0.000
Sc1 Sc 0.094 0.094 0.094
Sc2 Sc 0.906 0.906 0.906
Tl1 Tl 0.500 0.500 0.500
```

(7)
Computed, not measured: a PBEsol-optimized structure of BaCoGeRh2 at the SCAN level of DFT.

Results
ΔE_f: 3.7 eV/f.u.
uncorrected energy: -139.8 eV per cell
density: 6.74 g/cm³

CIF file:
```
data_BaCoGeRh2
_symmetry_space_group_name_H-M 'P 1'
_symmetry_Int_Tables_number 1
_cell_length_a 4.526
_cell_length_b 4.526
_cell_length_c 5.710
_cell_angle_alpha 90.00
_cell_angle_beta 90.00
_cell_angle_gamma 90.00
loop_
_symmetry_equiv_pos_as_xyz
'x,y,z'
loop_
_atom_site_label
_atom_site_type_symbol
_atom_site_fract_x
_atom_site_fract_y
_atom_site_fract_z
Ba1 Ba 0.000 0.000 0.000
Co1 Co 0.500 0.500 0.000
Ge1 Ge 0.000 0.000 0.500
Rh1 Rh 0.000 0.500 0.500
Rh2 Rh 0.500 0.000 0.500
```

(8)
Computed, not measured: a PBEsol-optimized structure of Zn2P2Au at the SCAN level of DFT.

Results
ΔE_f: 0.8 eV/f.u.
uncorrected energy: -116.1 eV per cell
density: 8.15 g/cm³

CIF file:
```
data_Zn2P2Au
_symmetry_space_group_name_H-M 'P 1'
_symmetry_Int_Tables_number 1
_cell_length_a 7.839
_cell_length_b 7.839
_cell_length_c 7.839
_cell_angle_alpha 156.03
_cell_angle_beta 156.03
_cell_angle_gamma 34.16
loop_
_symmetry_equiv_pos_as_xyz
'x,y,z'
loop_
_atom_site_label
_atom_site_type_symbol
_atom_site_fract_x
_atom_site_fract_y
_atom_site_fract_z
Zn1 Zn 0.095 0.095 0.000
Zn2 Zn 0.905 0.905 0.000
P1 P 0.250 0.750 0.500
P2 P 0.750 0.250 0.500
Au1 Au 0.500 0.500 0.000
```